Entry 1:
Below is a relaxed structure of SiHgPt2, with properties calculated at the GGA-PBEsol level.

Computed properties:
* theoretical density: 16.20 g cm⁻³
* N(E_F): 3.7 states/eV per cell
* energy relative to the elements, uncorrected: -0.0157 eV/atom
* energy: -5.076 eV/atom

a = 4.052 Å, b = 4.052 Å, c = 7.726 Å
α = 90.00°, β = 90.00°, γ = 90.00°
Space group I4/mmm (No. 139)
Unique sites:
Si 0.000 0.000 0.000 (multiplicity 2)
Hg 0.000 0.000 0.500 (multiplicity 2)
Pt 0.000 0.500 0.250 (multiplicity 4)



Entry 2:
Below is a relaxed structure of SiHg2Pt, with properties calculated at the GGA-PBEsol level.

Computed properties:
* theoretical density: 14.27 g cm⁻³
* N(E_F): 5.3 states/eV per cell
* energy relative to the elements, uncorrected: 0.2811 eV/atom
* energy: -3.180 eV/atom

a = 6.624 Å, b = 6.624 Å, c = 6.624 Å
α = 90.00°, β = 90.00°, γ = 90.00°
Space group F-43m (No. 216)
Unique sites:
Si 0.000 0.000 0.000 (multiplicity 4)
Hg 0.000 0.000 0.500 (multiplicity 4)
Hg 0.250 0.250 0.250 (multiplicity 4)
Pt 0.250 0.250 0.750 (multiplicity 4)



Entry 3:
Below is a relaxed structure of SnHg2Pt2, with properties calculated at the GGA-PBEsol level.

Computed properties:
* theoretical density: 15.02 g cm⁻³
* calculated formation energy: 35 meV per atom
* N(E_F): 4.2 states/eV per cell
* energy: -3.829 eV/atom

a = 3.839 Å, b = 3.839 Å, c = 13.652 Å
α = 90.00°, β = 90.00°, γ = 90.00°
Space group I4/mmm (No. 139)
Unique sites:
Sn 0.000 0.000 0.000 (multiplicity 2)
Hg 0.000 0.500 0.250 (multiplicity 4)
Pt 0.000 0.000 0.406 (multiplicity 4)



Entry 4:
Below is a relaxed structure of SrHgPt2, with properties calculated at the GGA-PBEsol level.

Computed properties:
* theoretical density: 11.86 g cm⁻³
* calculated formation energy: -451 meV per atom
* N(E_F): 4.2 states/eV per cell
* energy: -4.534 eV/atom

a = 4.6504 Å, b = 4.6504 Å, c = 15.2182 Å
α = 90.00°, β = 90.00°, γ = 120.00°
Space group R-3m (No. 166, hexagonal axes)
Unique sites:
Sr 0.0000 0.0000 0.0000 (multiplicity 3)
Hg 0.0000 0.0000 0.5000 (multiplicity 3)
Pt 0.0000 0.0000 0.1917 (multiplicity 6)



Entry 5:
Below is a relaxed structure of SrHg2Pt, with properties calculated at the GGA-PBEsol level.

Computed properties:
* theoretical density: 11.43 g cm⁻³
* calculated formation energy: -446 meV per atom
* N(E_F): 5.7 states/eV per cell
* energy: -2.931 eV/atom

a = 4.7306 Å, b = 4.7306 Å, c = 15.3799 Å
α = 90.00°, β = 90.00°, γ = 120.00°
Space group R3m (No. 160, hexagonal axes)
Unique sites:
Sr 0.0000 0.0000 0.0000 (multiplicity 3)
Hg 0.0000 0.0000 0.2112 (multiplicity 3)
Hg 0.0000 0.0000 0.4504 (multiplicity 3)
Pt 0.0000 0.0000 0.8010 (multiplicity 3)



Entry 6:
Below is a relaxed structure of SrHg2Pt, with properties calculated at the GGA-PBEsol level.

Computed properties:
* theoretical density: 12.51 g cm⁻³
* calculated formation energy: -308 meV per atom
* N(E_F): 1.5 states/eV per cell
* energy: -2.793 eV/atom

a = 4.307 Å, b = 4.307 Å, c = 4.894 Å
α = 90.00°, β = 90.00°, γ = 90.00°
Space group P4/mmm (No. 123)
Unique sites:
Sr 0.000 0.000 0.000 (multiplicity 1)
Hg 0.000 0.500 0.500 (multiplicity 2)
Pt 0.500 0.500 0.000 (multiplicity 1)



Entry 7:
Below is a relaxed structure of SrHg2Pt, with properties calculated at the GGA-PBEsol level.

Computed properties:
* theoretical density: 11.56 g cm⁻³
* calculated formation energy: -393 meV per atom
* N(E_F): 1.9 states/eV per cell
* energy: -2.877 eV/atom

a = 4.028 Å, b = 4.288 Å, c = 11.379 Å
α = 90.00°, β = 90.00°, γ = 90.00°
Space group Amm2 (No. 38)
Unique sites:
Sr 0.000 0.000 0.000 (multiplicity 2)
Hg 0.000 0.000 0.723 (multiplicity 2)
Hg 0.500 0.000 0.313 (multiplicity 2)
Pt 0.500 0.000 0.557 (multiplicity 2)



Entry 8:
Below is a relaxed structure of SrHg2Pt, with properties calculated at the GGA-PBEsol level.

Computed properties:
* theoretical density: 12.79 g cm⁻³
* calculated formation energy: -359 meV per atom
* N(E_F): 6.2 states/eV per cell
* energy: -2.843 eV/atom

a = 7.082 Å, b = 7.082 Å, c = 7.082 Å
α = 90.00°, β = 90.00°, γ = 90.00°
Space group Fm-3m (No. 225)
Unique sites:
Sr 0.000 0.000 0.000 (multiplicity 4)
Hg 0.250 0.250 0.250 (multiplicity 8)
Pt 0.000 0.000 0.500 (multiplicity 4)



Entry 9:
Below is a relaxed structure of SrHg2Pt, with properties calculated at the GGA-PBEsol level.

Computed properties:
* theoretical density: 11.72 g cm⁻³
* calculated formation energy: -419 meV per atom
* N(E_F): 4.8 states/eV per cell
* energy: -2.903 eV/atom

a = 4.6718 Å, b = 4.6718 Å, c = 15.3744 Å
α = 90.00°, β = 90.00°, γ = 120.00°
Space group R-3m (No. 166, hexagonal axes)
Unique sites:
Sr 0.0000 0.0000 0.0000 (multiplicity 3)
Hg 0.0000 0.0000 0.2176 (multiplicity 6)
Pt 0.0000 0.0000 0.5000 (multiplicity 3)



Entry 10:
Below is a relaxed structure of Ta2HgPt, with properties calculated at the GGA-PBEsol level.

Computed properties:
* theoretical density: 18.41 g cm⁻³
* calculated formation energy: -132 meV per atom
* N(E_F): 2.7 states/eV per cell
* energy: -8.290 eV/atom

a = 2.839 Å, b = 4.115 Å, c = 5.848 Å
α = 90.00°, β = 90.00°, γ = 90.00°
Space group Pmmm (No. 47)
Unique sites:
Ta 0.000 0.000 0.238 (multiplicity 2)
Hg 0.500 0.500 0.500 (multiplicity 1)
Pt 0.500 0.500 0.000 (multiplicity 1)



Entry 11:
Below is a relaxed structure of TaHgPt, with properties calculated at the GGA-PBEsol level.

Computed properties:
* theoretical density: 18.82 g cm⁻³
* calculated formation energy: -121 meV per atom
* N(E_F): 1.1 states/eV per cell
* energy: -6.815 eV/atom

a = 4.5955 Å, b = 4.5955 Å, c = 2.7819 Å
α = 90.00°, β = 90.00°, γ = 120.00°
Space group P-6m2 (No. 187)
Unique sites:
Ta 0.0000 0.0000 0.0000 (multiplicity 1)
Hg 0.6667 0.3333 0.5000 (multiplicity 1)
Pt 0.3333 0.6667 0.5000 (multiplicity 1)



Entry 12:
Below is a relaxed structure of Ta2HgPt, with properties calculated at the GGA-PBEsol level.

Computed properties:
* theoretical density: 18.11 g cm⁻³
* calculated formation energy: -126 meV per atom
* N(E_F): 2.3 states/eV per cell
* energy: -8.284 eV/atom

a = 3.142 Å, b = 3.637 Å, c = 6.079 Å
α = 90.00°, β = 90.00°, γ = 90.00°
Space group Pmm2 (No. 25)
Unique sites:
Ta 0.000 0.000 0.000 (multiplicity 1)
Ta 0.500 0.500 0.259 (multiplicity 1)
Hg 0.000 0.000 0.517 (multiplicity 1)
Pt 0.500 0.500 0.775 (multiplicity 1)